Entry 1:
Below is an optimized crystal structure of Li5Cr3H12, with properties calculated at the PBE level.

Cell and atoms, written as POSCAR:
```
Li5Cr3H12
1.0
8.950 0.000 0.000
-2.983 8.438 0.000
-2.983 -4.219 7.308
H Li Cr
48 20 12
direct
0.415 0.148 0.582 H
0.565 0.233 0.148 H
0.668 0.233 0.585 H
0.065 0.418 0.832 H
0.435 0.767 0.852 H
0.415 0.267 0.332 H
0.332 0.565 0.418 H
0.435 0.668 0.082 H
0.418 0.065 0.332 H
0.168 0.082 0.935 H
0.767 0.435 0.352 H
0.733 0.585 0.168 H
0.352 0.935 0.767 H
0.648 0.065 0.233 H
0.918 0.085 0.852 H
0.085 0.918 0.352 H
0.065 0.648 0.733 H
0.915 0.832 0.767 H
0.935 0.352 0.267 H
0.832 0.918 0.065 H
0.832 0.915 0.267 H
0.852 0.267 0.435 H
0.915 0.082 0.648 H
0.918 0.832 0.565 H
0.082 0.915 0.148 H
0.352 0.418 0.085 H
0.233 0.565 0.648 H
0.582 0.935 0.668 H
0.767 0.332 0.915 H
0.668 0.435 0.582 H
0.148 0.733 0.565 H
0.585 0.852 0.418 H
0.168 0.085 0.733 H
0.648 0.582 0.915 H
0.733 0.148 0.065 H
0.418 0.352 0.585 H
0.852 0.585 0.918 H
0.565 0.332 0.918 H
0.233 0.668 0.085 H
0.148 0.415 0.082 H
0.935 0.582 0.168 H
0.267 0.852 0.935 H
0.082 0.168 0.435 H
0.585 0.733 0.668 H
0.267 0.415 0.832 H
0.582 0.648 0.415 H
0.332 0.767 0.415 H
0.085 0.168 0.233 H
0.500 0.500 0.500 Li
0.250 0.375 0.625 Li
0.625 0.750 0.875 Li
0.125 0.375 0.250 Li
0.875 0.250 0.625 Li
0.000 0.000 0.000 Li
0.000 0.500 0.000 Li
0.875 0.625 0.750 Li
0.000 0.000 0.500 Li
0.375 0.125 0.750 Li
0.250 0.875 0.125 Li
0.000 0.500 0.500 Li
0.625 0.875 0.250 Li
0.125 0.750 0.375 Li
0.500 0.000 0.000 Li
0.750 0.625 0.375 Li
0.500 0.500 0.000 Li
0.500 0.000 0.500 Li
0.375 0.250 0.125 Li
0.750 0.125 0.875 Li
0.750 0.375 0.125 Cr
0.750 0.875 0.625 Cr
0.375 0.625 0.250 Cr
0.125 0.875 0.750 Cr
0.125 0.250 0.875 Cr
0.875 0.750 0.125 Cr
0.875 0.125 0.250 Cr
0.625 0.250 0.375 Cr
0.250 0.125 0.375 Cr
0.250 0.625 0.875 Cr
0.625 0.375 0.750 Cr
0.375 0.750 0.625 Cr
```

## Properties
- Symmetry: Ia-3d
- Calculated total energy: -4.01 eV/atom

Entry 2:
Below is an optimized crystal structure of LiCr3H, with properties calculated at the PBE level.

Cell and atoms, written as POSCAR:
```
LiCr3H
1.0
-2.898 -2.596 0.345
1.543 -1.277 3.354
-2.116 2.625 1.973
Cr Li H
3 1 1
direct
0.000 0.000 0.500 Cr
0.500 0.000 0.000 Cr
0.000 0.500 0.000 Cr
0.000 0.000 0.000 Li
0.500 0.500 0.500 H
```

## Properties
- Polymorph energy (0 for the lowest one): 1773.6 meV per atom
- Symmetry: Pm-3m
- Calculated total energy: -4.65 eV/atom

Entry 3:
Below is an optimized crystal structure of LiCr2H6, with properties calculated at the PBE level.

Cell and atoms, written as POSCAR:
```
LiCr2H6
1.0
-4.129 -3.031 -0.996
2.371 -1.675 -0.422
-1.192 -2.512 3.284
Cr H Li
2 6 1
direct
0.829 0.665 0.335 Cr
0.171 0.335 0.665 Cr
0.500 0.499 0.721 H
0.845 0.173 0.082 H
0.500 0.501 0.279 H
0.155 0.827 0.427 H
0.845 0.173 0.573 H
0.155 0.827 0.918 H
0.500 0.000 0.000 Li
```

## Properties
- Symmetry: Immm
- Calculated total energy: -4.65 eV/atom

Entry 4:
Below is an optimized crystal structure of Li2CrH, with properties calculated at the PBE level.

Cell and atoms, written as POSCAR:
```
Li2CrH
1.0
5.003 0.000 0.000
0.000 5.003 0.000
2.502 2.502 3.434
Li Cr H
4 2 2
direct
0.434 0.125 0.250 Li
0.316 0.625 0.250 Li
0.875 0.684 0.750 Li
0.375 0.566 0.750 Li
0.000 0.000 0.000 Cr
0.750 0.250 0.500 Cr
0.500 0.500 0.000 H
0.250 0.750 0.500 H
```

## Properties
- Polymorph energy (0 for the lowest one): 0.0 meV per atom
- Symmetry: I-42d
- Calculated total energy: -3.43 eV/atom